(1)
The following is a DFT calculation (PBE-GGA) of SrPmCl6 after structural relaxation.

Values from the calculation:
* electronic total energy: -4.0773 eV per atom
* space-group type: Fm-3m
* total moment: 1.00 μB/cell
* formation energy without anion corrections: -1.8883 eV per atom

Lattice parameters (Å, degrees): 7.9426 7.9426 7.9426 60.00 60.00 60.00
Closest atoms and distances in Å follow each position.
Fractional coordinates of all 8 atoms:
Sr 0.0000 0.0000 0.0000  6 Cl 2.90
Pm 0.5000 0.5000 0.5000  6 Cl 2.72
Cl 0.7417 0.7417 0.2583  1 Pm 2.72, 1 Sr 2.90
Cl 0.7417 0.2583 0.2583  1 Pm 2.72, 1 Sr 2.90
Cl 0.2583 0.7417 0.7417  1 Pm 2.72, 1 Sr 2.90
Cl 0.2583 0.2583 0.7417  1 Pm 2.72, 1 Sr 2.90
Cl 0.2583 0.7417 0.2583  1 Pm 2.72, 1 Sr 2.90
Cl 0.7417 0.2583 0.7417  1 Pm 2.72, 1 Sr 2.90

---

(2)
The following is a DFT calculation (PBE-GGA) of TbPmCl6 after structural relaxation.

Values from the calculation:
* electronic total energy: -4.8068 eV per atom
* space-group type: R-3
* total moment: 0.00 μB/cell
* formation energy without anion corrections: -2.2492 eV per atom

Lattice parameters (Å, degrees): 6.8424 6.8425 7.3681 62.32 62.31 60.00
Closest atoms and distances in Å follow each position.
Fractional coordinates of all 8 atoms:
Tb 0.5000 0.5000 0.5000  6 Cl 2.67
Pm 0.0000 0.0000 0.0000  6 Cl 2.74
Cl 0.1078 0.3994 0.7466  1 Tb 2.67, 1 Pm 2.74
Cl 0.7457 0.1080 0.7470  1 Tb 2.67, 1 Pm 2.74
Cl 0.6006 0.2540 0.2533  1 Tb 2.67, 1 Pm 2.74
Cl 0.2543 0.8920 0.2530  1 Tb 2.67, 1 Pm 2.74
Cl 0.8922 0.6006 0.2534  1 Tb 2.67, 1 Pm 2.74
Cl 0.3994 0.7460 0.7467  1 Tb 2.67, 1 Pm 2.74

---

Q: Which of these has the highest total moment?
A: SrPmCl6

---

Q: Among the records above, which one has the lowest formation energy without anion corrections?
A: TbPmCl6

---

Q: Look up the formation energy without anion corrections of the second one.
A: -2.2492 eV per atom